Run P
! Fe2RhCl (PBE-GGA, optimized geometry); values from VASP
! Symmetry: No. 35
! Spin magnetization: 6.88 μB/cell
&SYSTEM
  ibrav = 0, nat = 4, ntyp = 3
/
ATOMIC_SPECIES
Fe 55.84 Fe.upf
Rh 102.91 Rh.upf
Cl 35.45 Cl.upf
ATOMIC_POSITIONS crystal
Fe 0.0000 0.0000 0.0000
Fe 0.5000 0.5000 0.2358
Rh 0.5000 0.5000 0.7621
Cl 0.0000 0.0000 0.4563
CELL_PARAMETERS angstrom
1.5053 -2.4007 0.0000
1.5053 2.4007 0.0000
0.0000 0.0000 8.2012



Run Q
! Fe2RhCl (PBE-GGA, optimized geometry); values from VASP
! Symmetry: No. 160
! Spin magnetization: 7.14 μB/cell
&SYSTEM
  ibrav = 0, nat = 4, ntyp = 3
/
ATOMIC_SPECIES
Fe 55.84 Fe.upf
Rh 102.91 Rh.upf
Cl 35.45 Cl.upf
ATOMIC_POSITIONS crystal
Fe 0.0000 0.0000 0.0000
Fe 0.2553 0.2553 0.2553
Rh 0.7428 0.7428 0.7428
Cl 0.5211 0.5211 0.5211
CELL_PARAMETERS angstrom
1.4580 0.8418 8.2424
-1.4580 0.8418 8.2424
0.0000 -1.6836 8.2424



Run R
! Fe2RhCl (PBE-GGA, optimized geometry); values from VASP
! Symmetry: No. 47
! Spin magnetization: 7.43 μB/cell
&SYSTEM
  ibrav = 0, nat = 4, ntyp = 3
/
ATOMIC_SPECIES
Fe 55.84 Fe.upf
Rh 102.91 Rh.upf
Cl 35.45 Cl.upf
ATOMIC_POSITIONS crystal
Fe 0.0000 0.0000 0.2200
Fe 0.0000 0.0000 0.7800
Rh 0.5000 0.5000 0.0000
Cl 0.5000 0.0000 0.5000
CELL_PARAMETERS angstrom
2.9358 0.0000 0.0000
0.0000 2.9822 0.0000
0.0000 0.0000 7.1163



Energies relative to the most stable structure are run P 16.5; run Q 5.8; run R 0.0, reported in kJ/mol of atoms.



Run P
! FeRhCl2 (PBE-GGA, optimized geometry); values from VASP
! Symmetry: No. 166
! Spin magnetization: 0.15 μB/cell
&SYSTEM
  ibrav = 0, nat = 4, ntyp = 3
/
ATOMIC_SPECIES
Fe 55.84 Fe.upf
Rh 102.91 Rh.upf
Cl 35.45 Cl.upf
ATOMIC_POSITIONS crystal
Fe 0.0000 0.0000 0.0000
Rh 0.5000 0.5000 0.5000
Cl 0.3935 0.3935 0.3935
Cl 0.6065 0.6065 0.6065
CELL_PARAMETERS angstrom
1.6142 0.9320 7.1752
-1.6142 0.9320 7.1752
0.0000 -1.8640 7.1752



Run Q
! FeRhCl2 (PBE-GGA, optimized geometry); values from VASP
! Symmetry: No. 12
! Spin magnetization: 4.44 μB/cell
&SYSTEM
  ibrav = 0, nat = 4, ntyp = 3
/
ATOMIC_SPECIES
Fe 55.84 Fe.upf
Rh 102.91 Rh.upf
Cl 35.45 Cl.upf
ATOMIC_POSITIONS crystal
Fe 0.0000 0.0000 0.0000
Rh 0.5000 0.5000 0.5000
Cl 0.3625 0.3625 0.7992
Cl 0.6375 0.6375 0.2008
CELL_PARAMETERS angstrom
6.5760 -1.5606 0.0000
6.5760 1.5606 0.0000
-0.4570 0.0000 4.2919



Energies relative to the most stable structure are run P 33.2; run Q 0.0, reported in kJ/mol of atoms.



Run P
! FeRhCl (PBE-GGA, optimized geometry); values from VASP
! Symmetry: No. 156
! Spin magnetization: 4.64 μB/cell
&SYSTEM
  ibrav = 0, nat = 3, ntyp = 3
/
ATOMIC_SPECIES
Fe 55.84 Fe.upf
Rh 102.91 Rh.upf
Cl 35.45 Cl.upf
ATOMIC_POSITIONS crystal
Fe 0.0000 0.0000 0.0000
Rh 0.6667 0.3333 0.2814
Cl 0.3333 0.6667 0.7018
CELL_PARAMETERS angstrom
3.1543 0.0000 0.0000
-1.5771 2.7317 0.0000
0.0000 0.0000 5.8093



Run Q
! FeRhCl (PBE-GGA, optimized geometry); values from VASP
! Symmetry: No. 156
! Spin magnetization: 4.28 μB/cell
&SYSTEM
  ibrav = 0, nat = 3, ntyp = 3
/
ATOMIC_SPECIES
Fe 55.84 Fe.upf
Rh 102.91 Rh.upf
Cl 35.45 Cl.upf
ATOMIC_POSITIONS crystal
Fe 0.0000 0.0000 0.0000
Rh 0.6667 0.3333 0.5064
Cl 0.3333 0.6667 0.9603
CELL_PARAMETERS angstrom
4.1635 0.0000 0.0000
-2.0818 3.6057 0.0000
0.0000 0.0000 2.9541



Run R
! FeRhCl (PBE-GGA, optimized geometry); values from VASP
! Symmetry: No. 216
! Spin magnetization: 4.38 μB/cell
&SYSTEM
  ibrav = 0, nat = 3, ntyp = 3
/
ATOMIC_SPECIES
Fe 55.84 Fe.upf
Rh 102.91 Rh.upf
Cl 35.45 Cl.upf
ATOMIC_POSITIONS crystal
Fe 0.0000 0.0000 0.0000
Rh 0.7500 0.7500 0.7500
Cl 0.5000 0.5000 0.5000
CELL_PARAMETERS angstrom
0.0000 2.9829 2.9829
2.9829 0.0000 2.9829
2.9829 2.9829 0.0000



Run S
! FeRhCl (PBE-GGA, optimized geometry); values from VASP
! Symmetry: No. 107
! Spin magnetization: 4.44 μB/cell
&SYSTEM
  ibrav = 0, nat = 3, ntyp = 3
/
ATOMIC_SPECIES
Fe 55.84 Fe.upf
Rh 102.91 Rh.upf
Cl 35.45 Cl.upf
ATOMIC_POSITIONS crystal
Fe 0.0000 0.0000 0.0000
Rh 0.3608 0.3608 0.0000
Cl 0.6621 0.6621 0.0000
CELL_PARAMETERS angstrom
-1.4839 1.4839 5.3586
1.4839 -1.4839 5.3586
1.4839 1.4839 -5.3586



Energies relative to the most stable structure are run P 0.0; run Q 30.4; run R 41.4; run S 11.0, reported in kJ/mol of atoms.



Run P
! Fe2RuCl (PBE-GGA, optimized geometry); values from VASP
! Symmetry: No. 99
! Spin magnetization: 5.44 μB/cell
&SYSTEM
  ibrav = 0, nat = 4, ntyp = 3
/
ATOMIC_SPECIES
Fe 55.84 Fe.upf
Ru 101.07 Ru.upf
Cl 35.45 Cl.upf
ATOMIC_POSITIONS crystal
Fe 0.0000 0.0000 0.0000
Fe 0.5000 0.5000 0.2242
Ru 0.0000 0.0000 0.4245
Cl 0.5000 0.5000 0.7481
CELL_PARAMETERS angstrom
2.9272 0.0000 0.0000
0.0000 2.9272 0.0000
0.0000 0.0000 6.6928



Run Q
! Fe2RuCl (PBE-GGA, optimized geometry); values from VASP
! Symmetry: No. 44
! Spin magnetization: 6.02 μB/cell
&SYSTEM
  ibrav = 0, nat = 4, ntyp = 3
/
ATOMIC_SPECIES
Fe 55.84 Fe.upf
Ru 101.07 Ru.upf
Cl 35.45 Cl.upf
ATOMIC_POSITIONS crystal
Fe 0.0000 0.0000 0.0000
Fe 0.7393 0.2393 0.5000
Ru 0.2577 0.7577 0.5000
Cl 0.4953 0.4953 0.0000
CELL_PARAMETERS angstrom
-1.4042 2.2488 4.3808
1.4042 -2.2488 4.3808
1.4042 2.2488 -4.3808



Energies relative to the most stable structure are run P 0.0; run Q 23.5, reported in kJ/mol of atoms.



Run P
! Fe2RuCl (PBE-GGA, optimized geometry); values from VASP
! Symmetry: No. 47
! Spin magnetization: 6.34 μB/cell
&SYSTEM
  ibrav = 0, nat = 4, ntyp = 3
/
ATOMIC_SPECIES
Fe 55.84 Fe.upf
Ru 101.07 Ru.upf
Cl 35.45 Cl.upf
ATOMIC_POSITIONS crystal
Fe 0.0000 0.0000 0.0000
Fe 0.5000 0.5000 0.0000
Ru 0.0000 0.5000 0.5000
Cl 0.5000 0.0000 0.5000
CELL_PARAMETERS angstrom
2.8734 0.0000 0.0000
0.0000 4.2987 0.0000
0.0000 0.0000 4.4357



Run Q
! Fe2RuCl (PBE-GGA, optimized geometry); values from VASP
! Symmetry: No. 71
! Spin magnetization: 5.86 μB/cell
&SYSTEM
  ibrav = 0, nat = 4, ntyp = 3
/
ATOMIC_SPECIES
Fe 55.84 Fe.upf
Ru 101.07 Ru.upf
Cl 35.45 Cl.upf
ATOMIC_POSITIONS crystal
Fe 0.2382 0.2382 0.0000
Fe 0.7618 0.7618 0.0000
Ru 0.5000 0.0000 0.5000
Cl 0.0000 0.5000 0.5000
CELL_PARAMETERS angstrom
-1.4120 2.1639 4.3844
1.4120 -2.1639 4.3844
1.4120 2.1639 -4.3844



Run R
! Fe2RuCl (PBE-GGA, optimized geometry); values from VASP
! Symmetry: No. 225
! Spin magnetization: 7.73 μB/cell
&SYSTEM
  ibrav = 0, nat = 4, ntyp = 3
/
ATOMIC_SPECIES
Fe 55.84 Fe.upf
Ru 101.07 Ru.upf
Cl 35.45 Cl.upf
ATOMIC_POSITIONS crystal
Fe 0.2500 0.2500 0.2500
Fe 0.7500 0.7500 0.7500
Ru 0.0000 0.0000 0.0000
Cl 0.5000 0.5000 0.5000
CELL_PARAMETERS angstrom
0.0000 3.0819 3.0819
3.0819 0.0000 3.0819
3.0819 3.0819 0.0000



Energies relative to the most stable structure are run P 2.2; run Q 0.0; run R 25.6, reported in kJ/mol of atoms.



Run P
! FeRuCl3 (PBE-GGA, optimized geometry); values from VASP
! Symmetry: No. 221
! Spin magnetization: 4.03 μB/cell
&SYSTEM
  ibrav = 0, nat = 5, ntyp = 3
/
ATOMIC_SPECIES
Fe 55.84 Fe.upf
Ru 101.07 Ru.upf
Cl 35.45 Cl.upf
ATOMIC_POSITIONS crystal
Fe 0.0000 0.0000 0.0000
Ru 0.5000 0.5000 0.5000
Cl 0.0000 0.0000 0.5000
Cl 0.0000 0.5000 0.0000
Cl 0.5000 0.0000 0.0000
CELL_PARAMETERS angstrom
4.7835 0.0000 0.0000
0.0000 4.7835 0.0000
0.0000 0.0000 4.7835



Run Q
! FeRuCl3 (PBE-GGA, optimized geometry); values from VASP
! Symmetry: No. 221
! Spin magnetization: 3.63 μB/cell
&SYSTEM
  ibrav = 0, nat = 5, ntyp = 3
/
ATOMIC_SPECIES
Fe 55.84 Fe.upf
Ru 101.07 Ru.upf
Cl 35.45 Cl.upf
ATOMIC_POSITIONS crystal
Fe 0.0000 0.0000 0.0000
Ru 0.5000 0.5000 0.5000
Cl 0.0000 0.5000 0.5000
Cl 0.5000 0.0000 0.5000
Cl 0.5000 0.5000 0.0000
CELL_PARAMETERS angstrom
4.7667 0.0000 0.0000
0.0000 4.7667 0.0000
0.0000 0.0000 4.7667



Energies relative to the most stable structure are run P 13.0; run Q 0.0, reported in kJ/mol of atoms.



Run P
! FeRu3Cl (PBE-GGA, optimized geometry); values from VASP
! Symmetry: No. 221
! Spin magnetization: 4.43 μB/cell
&SYSTEM
  ibrav = 0, nat = 5, ntyp = 3
/
ATOMIC_SPECIES
Fe 55.84 Fe.upf
Ru 101.07 Ru.upf
Cl 35.45 Cl.upf
ATOMIC_POSITIONS crystal
Fe 0.0000 0.0000 0.0000
Ru 0.0000 0.0000 0.5000
Ru 0.0000 0.5000 0.0000
Ru 0.5000 0.0000 0.0000
Cl 0.5000 0.5000 0.5000
CELL_PARAMETERS angstrom
4.5131 0.0000 0.0000
0.0000 4.5131 0.0000
0.0000 0.0000 4.5131



Run Q
! FeRu3Cl (PBE-GGA, optimized geometry); values from VASP
! Symmetry: No. 221
! Spin magnetization: 0.05 μB/cell
&SYSTEM
  ibrav = 0, nat = 5, ntyp = 3
/
ATOMIC_SPECIES
Fe 55.84 Fe.upf
Ru 101.07 Ru.upf
Cl 35.45 Cl.upf
ATOMIC_POSITIONS crystal
Fe 0.0000 0.0000 0.0000
Ru 0.0000 0.5000 0.5000
Ru 0.5000 0.0000 0.5000
Ru 0.5000 0.5000 0.0000
Cl 0.5000 0.5000 0.5000
CELL_PARAMETERS angstrom
4.2817 0.0000 0.0000
0.0000 4.2817 0.0000
0.0000 0.0000 4.2817



Energies relative to the most stable structure are run P 8.6; run Q 0.0, reported in kJ/mol of atoms.



Run P
! FeRuS2Cl (PBE-GGA, optimized geometry); values from VASP
! Symmetry: No. 123
! Spin magnetization: 3.61 μB/cell
&SYSTEM
  ibrav = 0, nat = 5, ntyp = 4
/
ATOMIC_SPECIES
Fe 55.84 Fe.upf
Ru 101.07 Ru.upf
S 32.06 S.upf
Cl 35.45 Cl.upf
ATOMIC_POSITIONS crystal
Fe 0.0000 0.0000 0.0000
Ru 0.5000 0.5000 0.5000
S 0.0000 0.5000 0.5000
S 0.5000 0.0000 0.5000
Cl 0.5000 0.5000 0.0000
CELL_PARAMETERS angstrom
4.5716 0.0000 0.0000
0.0000 4.5716 0.0000
0.0000 0.0000 4.8471



Run Q
! FeRuS2Cl (PBE-GGA, optimized geometry); values from VASP
! Symmetry: No. 123
! Spin magnetization: 3.73 μB/cell
&SYSTEM
  ibrav = 0, nat = 5, ntyp = 4
/
ATOMIC_SPECIES
Fe 55.84 Fe.upf
Ru 101.07 Ru.upf
S 32.06 S.upf
Cl 35.45 Cl.upf
ATOMIC_POSITIONS crystal
Fe 0.0000 0.0000 0.0000
Ru 0.5000 0.5000 0.5000
S 0.0000 0.5000 0.0000
S 0.5000 0.0000 0.0000
Cl 0.0000 0.0000 0.5000
CELL_PARAMETERS angstrom
4.3829 0.0000 0.0000
0.0000 4.3829 0.0000
0.0000 0.0000 4.5977



Energies relative to the most stable structure are run P 0.0; run Q 15.7, reported in kJ/mol of atoms.



Run P
! FeS3Cl (PBE-GGA, optimized geometry); values from VASP
! Symmetry: No. 221
! Spin magnetization: 4.15 μB/cell
&SYSTEM
  ibrav = 0, nat = 5, ntyp = 3
/
ATOMIC_SPECIES
Fe 55.84 Fe.upf
S 32.06 S.upf
Cl 35.45 Cl.upf
ATOMIC_POSITIONS crystal
Fe 0.0000 0.0000 0.0000
S 0.0000 0.5000 0.5000
S 0.5000 0.0000 0.5000
S 0.5000 0.5000 0.0000
Cl 0.5000 0.5000 0.5000
CELL_PARAMETERS angstrom
4.6101 0.0000 0.0000
0.0000 4.6101 0.0000
0.0000 0.0000 4.6101



Run Q
! FeS3Cl (PBE-GGA, optimized geometry); values from VASP
! Symmetry: No. 221
! Spin magnetization: 0.00 μB/cell
&SYSTEM
  ibrav = 0, nat = 5, ntyp = 3
/
ATOMIC_SPECIES
Fe 55.84 Fe.upf
S 32.06 S.upf
Cl 35.45 Cl.upf
ATOMIC_POSITIONS crystal
Fe 0.0000 0.0000 0.0000
S 0.0000 0.0000 0.5000
S 0.0000 0.5000 0.0000
S 0.5000 0.0000 0.0000
Cl 0.5000 0.5000 0.5000
CELL_PARAMETERS angstrom
4.4253 0.0000 0.0000
0.0000 4.4253 0.0000
0.0000 0.0000 4.4253



Energies relative to the most stable structure are run P 75.2; run Q 0.0, reported in kJ/mol of atoms.



Run P
! Fe2SCl (PBE-GGA, optimized geometry); values from VASP
! Symmetry: No. 122
! Spin magnetization: 14.00 μB/cell
&SYSTEM
  ibrav = 0, nat = 8, ntyp = 3
/
ATOMIC_SPECIES
Fe 55.84 Fe.upf
S 32.06 S.upf
Cl 35.45 Cl.upf
ATOMIC_POSITIONS crystal
Fe 0.0939 0.6250 0.9689
Fe 0.3750 0.3439 0.4689
Fe 0.6561 0.1250 0.0311
Fe 0.8750 0.9061 0.5311
S 0.0000 0.0000 0.0000
S 0.7500 0.2500 0.5000
Cl 0.2500 0.7500 0.5000
Cl 0.5000 0.5000 0.0000
CELL_PARAMETERS angstrom
-2.6117 2.6117 5.7671
2.6117 -2.6117 5.7671
2.6117 2.6117 -5.7671



Run Q
! Fe2SCl (PBE-GGA, optimized geometry); values from VASP
! Symmetry: No. 225
! Spin magnetization: 7.00 μB/cell
&SYSTEM
  ibrav = 0, nat = 4, ntyp = 3
/
ATOMIC_SPECIES
Fe 55.84 Fe.upf
S 32.06 S.upf
Cl 35.45 Cl.upf
ATOMIC_POSITIONS crystal
Fe 0.2500 0.2500 0.2500
Fe 0.7500 0.7500 0.7500
S 0.0000 0.0000 0.0000
Cl 0.5000 0.5000 0.5000
CELL_PARAMETERS angstrom
0.0000 3.0952 3.0952
3.0952 0.0000 3.0952
3.0952 3.0952 0.0000



Energies relative to the most stable structure are run P 0.0; run Q 28.9, reported in kJ/mol of atoms.



Run P
! ScFeSCl2 (PBE-GGA, optimized geometry); values from VASP
! Symmetry: No. 123
! Spin magnetization: 0.00 μB/cell
&SYSTEM
  ibrav = 0, nat = 5, ntyp = 4
/
ATOMIC_SPECIES
Sc 44.96 Sc.upf
Fe 55.84 Fe.upf
S 32.06 S.upf
Cl 35.45 Cl.upf
ATOMIC_POSITIONS crystal
Sc 0.0000 0.0000 0.0000
Fe 0.5000 0.5000 0.5000
S 0.5000 0.5000 0.0000
Cl 0.0000 0.5000 0.5000
Cl 0.5000 0.0000 0.5000
CELL_PARAMETERS angstrom
4.4432 0.0000 0.0000
0.0000 4.4432 0.0000
0.0000 0.0000 4.6116



Run Q
! ScFeSCl2 (PBE-GGA, optimized geometry); values from VASP
! Symmetry: No. 123
! Spin magnetization: 3.89 μB/cell
&SYSTEM
  ibrav = 0, nat = 5, ntyp = 4
/
ATOMIC_SPECIES
Sc 44.96 Sc.upf
Fe 55.84 Fe.upf
S 32.06 S.upf
Cl 35.45 Cl.upf
ATOMIC_POSITIONS crystal
Sc 0.0000 0.0000 0.0000
Fe 0.5000 0.5000 0.5000
S 0.0000 0.0000 0.5000
Cl 0.0000 0.5000 0.0000
Cl 0.5000 0.0000 0.0000
CELL_PARAMETERS angstrom
4.9202 0.0000 0.0000
0.0000 4.9202 0.0000
0.0000 0.0000 5.0343



Energies relative to the most stable structure are run P 15.2; run Q 0.0, reported in kJ/mol of atoms.



Run P
! FeSeSCl2 (PBE-GGA, optimized geometry); values from VASP
! Symmetry: No. 123
! Spin magnetization: 3.83 μB/cell
&SYSTEM
  ibrav = 0, nat = 5, ntyp = 4
/
ATOMIC_SPECIES
Fe 55.84 Fe.upf
Se 78.96 Se.upf
S 32.06 S.upf
Cl 35.45 Cl.upf
ATOMIC_POSITIONS crystal
Fe 0.0000 0.0000 0.0000
Se 0.5000 0.5000 0.5000
S 0.5000 0.5000 0.0000
Cl 0.0000 0.5000 0.5000
Cl 0.5000 0.0000 0.5000
CELL_PARAMETERS angstrom
4.9504 0.0000 0.0000
0.0000 4.9504 0.0000
0.0000 0.0000 4.9769



Run Q
! FeSeSCl2 (PBE-GGA, optimized geometry); values from VASP
! Symmetry: No. 123
! Spin magnetization: 1.75 μB/cell
&SYSTEM
  ibrav = 0, nat = 5, ntyp = 4
/
ATOMIC_SPECIES
Fe 55.84 Fe.upf
Se 78.96 Se.upf
S 32.06 S.upf
Cl 35.45 Cl.upf
ATOMIC_POSITIONS crystal
Fe 0.0000 0.0000 0.0000
Se 0.5000 0.5000 0.5000
S 0.0000 0.0000 0.5000
Cl 0.0000 0.5000 0.0000
Cl 0.5000 0.0000 0.0000
CELL_PARAMETERS angstrom
4.5313 0.0000 0.0000
0.0000 4.5313 0.0000
0.0000 0.0000 4.4876



Energies relative to the most stable structure are run P 43.2; run Q 0.0, reported in kJ/mol of atoms.



Run P
! SrFeSCl2 (PBE-GGA, optimized geometry); values from VASP
! Symmetry: No. 123
! Spin magnetization: 3.56 μB/cell
&SYSTEM
  ibrav = 0, nat = 5, ntyp = 4
/
ATOMIC_SPECIES
Sr 87.62 Sr.upf
Fe 55.84 Fe.upf
S 32.06 S.upf
Cl 35.45 Cl.upf
ATOMIC_POSITIONS crystal
Sr 0.0000 0.0000 0.0000
Fe 0.5000 0.5000 0.5000
S 0.5000 0.5000 0.0000
Cl 0.0000 0.5000 0.5000
Cl 0.5000 0.0000 0.5000
CELL_PARAMETERS angstrom
4.8500 0.0000 0.0000
0.0000 4.8500 0.0000
0.0000 0.0000 4.7374



Run Q
! SrFeSCl2 (PBE-GGA, optimized geometry); values from VASP
! Symmetry: No. 123
! Spin magnetization: 4.07 μB/cell
&SYSTEM
  ibrav = 0, nat = 5, ntyp = 4
/
ATOMIC_SPECIES
Sr 87.62 Sr.upf
Fe 55.84 Fe.upf
S 32.06 S.upf
Cl 35.45 Cl.upf
ATOMIC_POSITIONS crystal
Sr 0.0000 0.0000 0.0000
Fe 0.5000 0.5000 0.5000
S 0.0000 0.0000 0.5000
Cl 0.0000 0.5000 0.0000
Cl 0.5000 0.0000 0.0000
CELL_PARAMETERS angstrom
5.3999 0.0000 0.0000
0.0000 5.3999 0.0000
0.0000 0.0000 5.8378



Energies relative to the most stable structure are run P 0.0; run Q 91.3, reported in kJ/mol of atoms.